Entry 1:
Here is Ni24Mo5 after structural relaxation from Alexandria via LeMat-Bulk. Energies are from PBE.

Values from the calculation:
**Energy of formation**: 0.00 eV/atom
**Raw total energy**: -6.6506 eV/atom
**Crystal system**: cubic
**Fermi-level density of states**: 48.1 states/eV/f.u.

Cell and atoms, written as CIF:
```
data_Ni24Mo5
_chemical_formula_sum 'Ni48 Mo10'
_space_group_name_H-M_alt 'I -4 3 m'
_space_group_IT_number 217
_space_group_name_Hall 'I -4 2 3'
_cell_length_a 8.776
_cell_length_b 8.776
_cell_length_c 8.776
_cell_angle_alpha 90.00
_cell_angle_beta 90.00
_cell_angle_gamma 90.00
loop_
_atom_site_label
_atom_site_fract_x
_atom_site_fract_y
_atom_site_fract_z
_atom_site_occupancy
Ni1 0.046 0.364 0.636 1
Ni2 0.094 0.094 0.717 1
Mo1 0.000 0.000 0.000 1
Mo2 0.182 0.182 0.182 1
```


Entry 2:
Here is Mg2Sb after structural relaxation from Alexandria via LeMat-Bulk. Energies are from PBE.

Values from the calculation:
**Raw total energy**: -2.6470 eV/atom
**Crystal system**: orthorhombic
**Fermi-level density of states**: 0.8 states/eV/f.u.
**Energy relative to the elements, uncorrected**: -0.210 eV per atom

Cell and atoms, written as CIF:
```
data_Mg2Sb
_chemical_formula_sum 'Mg8 Sb4'
_space_group_name_H-M_alt 'C m c m'
_space_group_IT_number 63
_space_group_name_Hall '-C 2c 2'
_cell_length_a 4.320
_cell_length_b 14.635
_cell_length_c 4.559
_cell_angle_alpha 90.00
_cell_angle_beta 90.00
_cell_angle_gamma 90.00
loop_
_atom_site_label
_atom_site_fract_x
_atom_site_fract_y
_atom_site_fract_z
_atom_site_occupancy
Mg1 0.000 0.075 0.250 1
Mg2 0.000 0.253 0.750 1
Sb1 0.000 0.388 0.250 1
```


Entry 3:
Here is NaPm2SmTe4 after structural relaxation from Alexandria via LeMat-Bulk. Energies are from PBE.

Values from the calculation:
**Raw total energy**: -4.8862 eV/atom
**Crystal system**: monoclinic
**Fermi-level density of states**: 3.3 states/eV/f.u.
**Energy relative to the elements, uncorrected**: -1.373 eV per atom

Cell and atoms, written as CIF:
```
data_NaPm2SmTe4
_chemical_formula_sum 'Na1 Pm2 Sm1 Te4'
_space_group_name_H-M_alt 'P 1 2/m 1'
_space_group_IT_number 10
_cell_length_a 7.769
_cell_length_b 4.445
_cell_length_c 7.770
_cell_angle_alpha 90.00
_cell_angle_beta 109.02
_cell_angle_gamma 90.00
loop_
_space_group_symop_operation_xyz
'x,y,z'
'-x,-y,-z'
'-x,y,-z'
'x,-y,z'
loop_
_atom_site_label
_atom_site_fract_x
_atom_site_fract_y
_atom_site_fract_z
_atom_site_occupancy
Na1 0.000 0.000 0.000 1
Pm1 0.000 0.500 0.500 1
Pm2 0.500 0.000 0.500 1
Sm1 0.500 0.500 0.000 1
Te1 0.250 0.000 0.753 1
Te2 0.250 0.500 0.249 1
```